(1)
The following is a PBE calculation of crystalline Mg8TlPb3 at its relaxed geometry, from the Alexandria database.

Structure (POSCAR):
```
Mg8TlPb3
1.0
-3.449 3.449 6.874
3.449 -3.449 6.874
3.449 3.449 -6.874
Mg Tl Pb
8 1 3
direct
0.123 0.123 0.490
0.123 0.632 0.000
0.368 0.368 0.490
0.368 0.877 0.000
0.632 0.123 0.000
0.632 0.632 0.510
0.877 0.368 0.000
0.877 0.877 0.510
0.000 0.000 0.000
0.250 0.750 0.500
0.500 0.500 0.000
0.750 0.250 0.500
```

Output
Symmetry   I4/mmm, No. 139



(2)
The following is a PBE calculation of crystalline BaCd3Rh2 at its relaxed geometry, from the Alexandria database.

Structure (POSCAR):
```
BaCd3Rh2
1.0
5.170 -4.524 0.000
5.170 4.524 0.000
0.000 0.000 6.013
Ba Cd Rh
2 6 4
direct
0.141 0.859 0.750
0.859 0.141 0.250
0.043 0.572 0.250
0.428 0.957 0.250
0.477 0.523 0.250
0.523 0.477 0.750
0.572 0.043 0.750
0.957 0.428 0.750
0.275 0.275 0.000
0.275 0.275 0.500
0.725 0.725 0.000
0.725 0.725 0.500
```

Output
Symmetry   Cmcm, No. 63



(3)
The following is a PBE calculation of crystalline BeAl6Co5 at its relaxed geometry, from the Alexandria database.

Structure (POSCAR):
```
BeAl6Co5
1.0
-2.019 2.843 6.077
2.019 -2.843 6.077
2.019 2.843 -6.077
Be Al Co
1 6 5
direct
0.000 0.000 0.000
0.083 0.832 0.251
0.251 0.500 0.751
0.419 0.168 0.251
0.581 0.832 0.749
0.749 0.500 0.249
0.917 0.168 0.749
0.165 0.665 0.500
0.335 0.335 0.000
0.500 0.000 0.500
0.665 0.665 0.000
0.835 0.335 0.500
```

Output
Symmetry   Immm, No. 71



Number 1: DFT formation energy -42 meV/atom, total energy -2.2297 eV/atom. Number 2: DFT formation energy -224 meV/atom, total energy -3.4521 eV/atom. Number 3: DFT formation energy -492 meV/atom, total energy -5.6344 eV/atom.